(1)
Computed, not measured: a geometry-optimized NpPa2B structure at the GGA-PBE level of DFT.

Lattice parameters (Å, degrees): 3.3556 3.3556 26.4037 90.00 90.00 120.00
Space group R-3m (No. 166, hexagonal axes)
Unique sites:
Np 0.0000 0.0000 0.0000 [3 per cell]
Pa 0.0000 0.0000 0.1086 [6 per cell]
B 0.0000 0.0000 0.5000 [3 per cell]

Calculated values
Its final energy is -111.6 eV/cell. As for the volume: 257.5 Å³ per cell. The calculation puts the formation energy at 0.35 eV per atom.

=====

(2)
Computed, not measured: a geometry-optimized La2GaHgIr structure at the GGA-PBE level of DFT.

Lattice parameters (Å, degrees): 7.5836 4.5475 7.9740 90.00 109.95 90.00
Space group P2_1/m (No. 11)
Unique sites:
La 0.1353 0.2500 0.3425 [2 per cell]
La 0.2773 0.2500 0.9519 [2 per cell]
Ga 0.4505 0.7500 0.3255 [2 per cell]
Hg 0.3181 0.7500 0.6591 [2 per cell]
Ir 0.1265 0.7500 0.0955 [2 per cell]

Calculated values
Its final energy is -50.4 eV/cell. Its energy above the most stable polymorph in this dataset is 0.0 kJ/mol of formula units. As for the volume: 258.5 Å³ per cell. The calculation puts the formation energy at -0.63 eV per atom.

=====

(3)
Computed, not measured: a geometry-optimized Be4GeRh structure at the GGA-PBE level of DFT.

Lattice parameters (Å, degrees): 6.2166 6.2166 6.2166 90.00 90.00 90.00
Space group F-43m (No. 216)
Unique sites:
Be 0.1240 0.1240 0.3760 [16 per cell]
Ge 0.0000 0.0000 0.0000 [4 per cell]
Rh 0.2500 0.2500 0.7500 [4 per cell]

Calculated values
Its final energy is -113.6 eV/cell. As for the volume: 240.3 Å³ per cell. The calculation puts the formation energy at -0.25 eV per atom.